one:
A geometry-optimized Ho3Er2Tm3 structure. Source: Alexandria, functional PBE.

Fermi-level density of states, states/eV per cell: 13.43
Space-group type: No. 155

a = 6.3599 Å, b = 6.3599 Å, c = 6.3599 Å
α = 85.92°, β = 85.92°, γ = 85.92°
Last column: nearest neighbours and their distance in Å.
Fractional coordinates of all 8 atoms:
Ho: 0.0000 0.7649 0.2351  2 Tm 3.19, 2 Ho 3.53, 2 Er 3.53
Ho: 0.2351 0.0000 0.7649  2 Tm 3.19, 2 Ho 3.53, 2 Er 3.53
Ho: 0.7649 0.2351 0.0000  2 Tm 3.19, 2 Ho 3.53, 2 Er 3.53
Er: 0.2503 0.2503 0.2503  6 Ho 3.53-3.58, 6 Tm 3.55-3.57
Er: 0.7497 0.7497 0.7497  6 Ho 3.53-3.58, 6 Tm 3.55-3.57
Tm: 0.2671 0.5000 0.7330  2 Ho 3.19, 2 Tm 3.50, 4 Er 3.55-3.57
Tm: 0.5000 0.7330 0.2670  2 Ho 3.19, 2 Tm 3.50, 4 Er 3.55-3.57
Tm: 0.7330 0.2670 0.5000  2 Ho 3.19, 2 Tm 3.50, 4 Er 3.55-3.57

two:
A geometry-optimized Ho3Er2Tm3 structure. Source: Alexandria, functional PBE.

Fermi-level density of states, states/eV per cell: 22.03
Space-group type: No. 71

a = 4.9432 Å, b = 4.9451 Å, c = 19.8081 Å
α = 90.00°, β = 90.00°, γ = 90.00°
Last column: nearest neighbours and their distance in Å.
Fractional coordinates of all 16 atoms:
Ho: 0.0000 0.0000 0.0000  8 Tm 3.50, 4 Ho 3.50
Ho: 0.0000 0.5000 0.1248  6 Tm 3.50, 2 Ho 3.50, 4 Er 3.50
Ho: 0.0000 0.5000 0.8752  6 Tm 3.50, 2 Ho 3.50, 4 Er 3.50
Ho: 0.5000 0.0000 0.3752  6 Tm 3.50, 2 Ho 3.50, 4 Er 3.50
Ho: 0.5000 0.0000 0.6248  6 Tm 3.50, 2 Ho 3.50, 4 Er 3.50
Ho: 0.5000 0.5000 0.5000  8 Tm 3.50, 4 Ho 3.50
Er: 0.0000 0.0000 0.2498  4 Tm 3.49-3.50, 4 Er 3.50, 4 Ho 3.50
Er: 0.0000 0.0000 0.7502  4 Tm 3.49-3.50, 4 Er 3.50, 4 Ho 3.50
Er: 0.5000 0.5000 0.2502  4 Tm 3.49-3.50, 4 Er 3.50, 4 Ho 3.50
Er: 0.5000 0.5000 0.7498  4 Tm 3.49-3.50, 4 Er 3.50, 4 Ho 3.50
Tm: 0.0000 0.0000 0.5000  8 Ho 3.50, 4 Tm 3.50
Tm: 0.0000 0.5000 0.3749  4 Er 3.49-3.50, 6 Ho 3.50, 2 Tm 3.50
Tm: 0.0000 0.5000 0.6251  4 Er 3.49-3.50, 6 Ho 3.50, 2 Tm 3.50
Tm: 0.5000 0.0000 0.1251  4 Er 3.49-3.50, 6 Ho 3.50, 2 Tm 3.50
Tm: 0.5000 0.0000 0.8749  4 Er 3.49-3.50, 6 Ho 3.50, 2 Tm 3.50
Tm: 0.5000 0.5000 0.0000  8 Ho 3.50, 4 Tm 3.50

Least stable = one

one:
A geometry-optimized Ho6Er2Tm structure. Source: Alexandria, functional PBE.

Fermi-level density of states, states/eV per cell: 22.69
Space-group type: No. 136

a = 10.5180 Å, b = 10.5180 Å, c = 4.9646 Å
α = 90.00°, β = 90.00°, γ = 90.00°
Last column: nearest neighbours and their distance in Å.
Fractional coordinates of all 18 atoms:
Ho: 0.0003 0.3330 0.0000  1 Tm 3.50, 8 Ho 3.50-3.51, 3 Er 3.51
Ho: 0.9997 0.6670 0.0000  1 Tm 3.50, 8 Ho 3.50-3.51, 3 Er 3.51
Ho: 0.1664 0.1664 0.5000  4 Er 3.50-3.51, 6 Ho 3.50-3.51, 2 Tm 3.51
Ho: 0.1670 0.5003 0.5000  1 Tm 3.50, 8 Ho 3.50-3.51, 3 Er 3.51
Ho: 0.3330 0.0003 0.0000  1 Tm 3.50, 8 Ho 3.50-3.51, 3 Er 3.51
Ho: 0.3336 0.6664 0.0000  4 Er 3.50-3.51, 6 Ho 3.50-3.51, 2 Tm 3.51
Ho: 0.5003 0.1670 0.5000  1 Tm 3.50, 8 Ho 3.50-3.51, 3 Er 3.51
Ho: 0.4997 0.8330 0.5000  1 Tm 3.50, 8 Ho 3.50-3.51, 3 Er 3.51
Ho: 0.6664 0.3336 0.0000  4 Er 3.50-3.51, 6 Ho 3.50-3.51, 2 Tm 3.51
Ho: 0.6670 0.9997 0.0000  1 Tm 3.50, 8 Ho 3.50-3.51, 3 Er 3.51
Ho: 0.8330 0.4997 0.5000  1 Tm 3.50, 8 Ho 3.50-3.51, 3 Er 3.51
Ho: 0.8336 0.8336 0.5000  4 Er 3.50-3.51, 6 Ho 3.50-3.51, 2 Tm 3.51
Er: 0.1664 0.8336 0.5000  10 Ho 3.50-3.51, 2 Tm 3.51
Er: 0.3336 0.3336 0.0000  10 Ho 3.50-3.51, 2 Tm 3.51
Er: 0.6664 0.6664 0.0000  10 Ho 3.50-3.51, 2 Tm 3.51
Er: 0.8336 0.1664 0.5000  10 Ho 3.50-3.51, 2 Tm 3.51
Tm: 0.0000 0.0000 0.0000  8 Ho 3.50-3.51, 4 Er 3.51
Tm: 0.5000 0.5000 0.5000  8 Ho 3.50-3.51, 4 Er 3.51

two:
A geometry-optimized Ho6Er2Tm structure. Source: Alexandria, functional PBE.

Fermi-level density of states, states/eV per cell: 24.94
Space-group type: No. 15

a = 8.7609 Å, b = 8.7609 Å, c = 8.9010 Å
α = 115.70°, β = 115.70°, γ = 82.42°
Last column: nearest neighbours and their distance in Å.
Fractional coordinates of all 18 atoms:
Ho: 0.0033 0.3033 0.9074  6 Ho 3.12-3.47, 1 Tm 3.48
Ho: 0.0292 0.8058 0.5127  2 Er 3.24-3.43, 5 Ho 3.32-3.53
Ho: 0.1942 0.9708 0.9873  2 Er 3.24-3.43, 5 Ho 3.32-3.53
Ho: 0.2050 0.3857 0.3694  4 Er 3.40-3.55, 2 Tm 3.42-3.51, 5 Ho 3.47-3.73
Ho: 0.3033 0.0033 0.4074  6 Ho 3.12-3.47, 1 Tm 3.48
Ho: 0.3857 0.2050 0.8694  4 Er 3.40-3.55, 2 Tm 3.42-3.51, 5 Ho 3.47-3.73
Ho: 0.6143 0.7950 0.1306  4 Er 3.40-3.55, 2 Tm 3.42-3.51, 5 Ho 3.47-3.73
Ho: 0.6967 0.9967 0.5926  6 Ho 3.12-3.47, 1 Tm 3.48
Ho: 0.7950 0.6143 0.6306  4 Er 3.40-3.55, 2 Tm 3.42-3.51, 5 Ho 3.47-3.73
Ho: 0.8058 0.0292 0.0127  2 Er 3.24-3.43, 5 Ho 3.32-3.53
Ho: 0.9708 0.1942 0.4873  2 Er 3.24-3.43, 5 Ho 3.32-3.53
Ho: 0.9967 0.6967 0.0926  6 Ho 3.12-3.47, 1 Tm 3.48
Er: 0.2186 0.5627 0.8046  7 Ho 3.24-3.58, 2 Tm 3.46-3.49, 1 Er 3.53
Er: 0.4373 0.7814 0.6954  7 Ho 3.24-3.58, 2 Tm 3.46-3.49, 1 Er 3.53
Er: 0.5627 0.2186 0.3046  7 Ho 3.24-3.58, 2 Tm 3.46-3.49, 1 Er 3.53
Er: 0.7814 0.4373 0.1954  7 Ho 3.24-3.58, 2 Tm 3.46-3.49, 1 Er 3.53
Tm: 0.4144 0.5856 0.2500  8 Ho 3.42-3.83, 4 Er 3.46-3.49
Tm: 0.5856 0.4144 0.7500  8 Ho 3.42-3.83, 4 Er 3.46-3.49

Least stable = two

one:
A geometry-optimized Ho2ErTm7 structure. Source: Alexandria, functional PBE.

Fermi-level density of states, states/eV per cell: 11.96
Space-group type: No. 65

a = 9.4828 Å, b = 9.4828 Å, c = 5.1200 Å
α = 90.00°, β = 90.00°, γ = 126.09°
Last column: nearest neighbours and their distance in Å.
Fractional coordinates of all 10 atoms:
Ho: 0.2011 0.7989 0.0000  5 Tm 3.10-3.40
Ho: 0.7989 0.2011 0.0000  5 Tm 3.10-3.40
Er: 0.5000 0.5000 0.5000  10 Tm 3.31-3.50
Tm: 0.0000 0.0000 0.0000  4 Tm 3.32, 2 Ho 3.40
Tm: 0.2135 0.4299 0.0000  4 Tm 3.07-3.33, 1 Ho 3.18
Tm: 0.3044 0.6956 0.5000  2 Ho 3.10, 1 Er 3.31, 4 Tm 3.33
Tm: 0.4299 0.2135 0.0000  4 Tm 3.07-3.33, 1 Ho 3.18
Tm: 0.5701 0.7865 0.0000  4 Tm 3.07-3.33, 1 Ho 3.18
Tm: 0.6956 0.3044 0.5000  2 Ho 3.10, 1 Er 3.31, 4 Tm 3.33
Tm: 0.7865 0.5701 0.0000  4 Tm 3.07-3.33, 1 Ho 3.18

two:
A geometry-optimized Ho2ErTm7 structure. Source: Alexandria, functional PBE.

Fermi-level density of states, states/eV per cell: 18.27
Space-group type: No. 71

a = 9.2922 Å, b = 9.2922 Å, c = 9.2922 Å
α = 146.62°, β = 136.28°, γ = 56.10°
Last column: nearest neighbours and their distance in Å.
Fractional coordinates of all 10 atoms:
Ho: 0.1994 0.1994 0.0000  9 Tm 3.14-3.51
Ho: 0.8006 0.8006 0.0000  9 Tm 3.14-3.51
Er: 0.5000 0.0000 0.5000  12 Tm 3.27-3.65
Tm: 0.0000 0.0000 0.0000  2 Ho 3.27, 2 Er 3.46, 8 Tm 3.66
Tm: 0.1406 0.3903 0.7503  8 Tm 3.46-3.66, 3 Ho 3.51-3.58, 2 Er 3.65
Tm: 0.3004 0.8004 0.5000  4 Ho 3.14-3.46, 1 Er 3.27, 4 Tm 3.50
Tm: 0.3600 0.6097 0.7503  8 Tm 3.46-3.66, 3 Ho 3.51-3.58, 2 Er 3.65
Tm: 0.6400 0.3903 0.2497  8 Tm 3.46-3.66, 3 Ho 3.51-3.58, 2 Er 3.65
Tm: 0.6996 0.1996 0.5000  4 Ho 3.14-3.46, 1 Er 3.27, 4 Tm 3.50
Tm: 0.8594 0.6097 0.2497  8 Tm 3.46-3.66, 3 Ho 3.51-3.58, 2 Er 3.65

Least stable = one

one:
A geometry-optimized Ho3Er6Tm2 structure. Source: Alexandria, functional PBE.

Fermi-level density of states, states/eV per cell: 16.91
Space-group type: No. 139

a = 16.6825 Å, b = 16.6825 Å, c = 16.6825 Å
α = 163.94°, β = 163.94°, γ = 22.78°
Last column: nearest neighbours and their distance in Å.
Fractional coordinates of all 11 atoms:
Ho: 0.0000 0.0000 0.0000  8 Tm 3.62
Ho: 0.2002 0.2002 0.0000  9 Er 3.30-3.48
Ho: 0.7998 0.7998 0.0000  9 Er 3.30-3.48
Er: 0.1210 0.6210 0.5000  6 Er 3.29-3.38, 2 Tm 3.38, 2 Ho 3.48
Er: 0.3041 0.3041 0.0000  5 Ho 3.30-3.40, 4 Er 3.38
Er: 0.3790 0.8790 0.5000  6 Er 3.29-3.38, 2 Tm 3.38, 2 Ho 3.48
Er: 0.6210 0.1210 0.5000  6 Er 3.29-3.38, 2 Tm 3.38, 2 Ho 3.48
Er: 0.6959 0.6959 0.0000  5 Ho 3.30-3.40, 4 Er 3.38
Er: 0.8790 0.3790 0.5000  6 Er 3.29-3.38, 2 Tm 3.38, 2 Ho 3.48
Tm: 0.4539 0.4539 0.0000  1 Tm 3.02
Tm: 0.5461 0.5461 0.0000  1 Tm 3.02

two:
A geometry-optimized Ho3Er6Tm2 structure. Source: Alexandria, functional PBE.

Fermi-level density of states, states/eV per cell: 15.94
Space-group type: No. 166

a = 31.4184 Å, b = 31.4184 Å, c = 31.4184 Å
α = 6.39°, β = 6.39°, γ = 6.39°
Last column: nearest neighbours and their distance in Å.
Fractional coordinates of all 11 atoms:
Ho: 0.0000 0.0000 0.0000  6 Er 3.50, 6 Ho 3.50
Ho: 0.2726 0.2726 0.2726  6 Er 3.50, 6 Ho 3.50
Ho: 0.7274 0.7274 0.7274  6 Er 3.50, 6 Ho 3.50
Er: 0.0912 0.0912 0.0912  3 Tm 3.48, 6 Er 3.50, 3 Ho 3.50
Er: 0.1818 0.1818 0.1818  3 Tm 3.49, 9 Er 3.50
Er: 0.3637 0.3637 0.3637  6 Ho 3.50, 6 Er 3.50
Er: 0.6363 0.6363 0.6363  6 Ho 3.50, 6 Er 3.50
Er: 0.8182 0.8182 0.8182  3 Tm 3.49, 9 Er 3.50
Er: 0.9088 0.9088 0.9088  3 Tm 3.48, 6 Er 3.50, 3 Ho 3.50
Tm: 0.4547 0.4547 0.4547  6 Er 3.48-3.49, 6 Tm 3.50
Tm: 0.5453 0.5453 0.5453  6 Er 3.48-3.49, 6 Tm 3.50

Least stable = one